Model a:
A geometry-optimized Pr2Ho2CBr5 structure. Source: OQMD, functional PBE-GGA.

```
data_Pr2Ho2CBr5
_chemical_formula_sum 'Pr4 Ho4 C2 Br10'
_cell_length_a 18.038
_cell_length_b 3.842
_cell_length_c 8.198
_cell_angle_alpha 90.00
_cell_angle_beta 103.77
_cell_angle_gamma 90.00
_space_group_name_H-M_alt 'C 1 2/m 1'
_space_group_IT_number 12
loop_
_space_group_symop_operation_xyz
'x,y,z'
'-x,-y,-z'
'-x,y,-z'
'x,-y,z'
'x+1/2,y+1/2,z'
'-x+1/2,-y+1/2,-z'
'-x+1/2,y+1/2,-z'
'x+1/2,-y+1/2,z'
loop_
_atom_site_label
_atom_site_fract_x
_atom_site_fract_y
_atom_site_fract_z
Pr1 0.145 0.000 0.077
Ho1 0.000 0.500 0.200
C1 0.000 0.000 0.000
Br1 0.000 0.000 0.500
Br2 0.159 0.500 0.359
Br3 0.165 0.500 0.807
```

The size of the total moment comes out at 0.260 μB per cell.

Model b:
A geometry-optimized Pr2Ho2CBr5 structure. Source: OQMD, functional PBE-GGA.

```
data_Pr2Ho2CBr5
_chemical_formula_sum 'Pr4 Ho4 C2 Br10'
_cell_length_a 18.068
_cell_length_b 3.919
_cell_length_c 8.508
_cell_angle_alpha 90.00
_cell_angle_beta 102.78
_cell_angle_gamma 90.00
_space_group_name_H-M_alt 'C 1 2/m 1'
_space_group_IT_number 12
loop_
_space_group_symop_operation_xyz
'x,y,z'
'-x,-y,-z'
'-x,y,-z'
'x,-y,z'
'x+1/2,y+1/2,z'
'-x+1/2,-y+1/2,-z'
'-x+1/2,y+1/2,-z'
'x+1/2,-y+1/2,z'
loop_
_atom_site_label
_atom_site_fract_x
_atom_site_fract_y
_atom_site_fract_z
Pr1 0.002 0.000 0.294
Ho1 0.136 0.500 0.570
C1 0.000 0.500 0.500
Br1 0.000 0.500 0.000
Br2 0.169 0.000 0.821
Br3 0.175 0.000 0.350
```

The size of the total moment comes out at 0.022 μB per cell.

Calculated relative energies: model a 6; model b 0, given in meV per atom

Model a:
A geometry-optimized Nd2Sm2C2I4Br structure. Source: OQMD, functional PBE-GGA.

```
data_Nd2Sm2C2I4Br
_chemical_formula_sum 'Nd4 Sm4 C4 I8 Br2'
_cell_length_a 20.194
_cell_length_b 3.984
_cell_length_c 8.579
_cell_angle_alpha 90.00
_cell_angle_beta 103.68
_cell_angle_gamma 90.00
_space_group_name_H-M_alt 'C 1 2/m 1'
_space_group_IT_number 12
loop_
_space_group_symop_operation_xyz
'x,y,z'
'-x,-y,-z'
'-x,y,-z'
'x,-y,z'
'x+1/2,y+1/2,z'
'-x+1/2,-y+1/2,-z'
'-x+1/2,y+1/2,-z'
'x+1/2,-y+1/2,z'
loop_
_atom_site_label
_atom_site_fract_x
_atom_site_fract_y
_atom_site_fract_z
Nd1 0.151 0.000 0.091
Sm1 0.000 0.500 0.195
C1 0.036 0.000 0.021
I1 0.159 0.500 0.376
I2 0.165 0.500 0.813
Br1 0.000 0.000 0.500
```

The size of the total moment comes out at 0.013 μB per cell.

Model b:
A geometry-optimized Nd2Sm2C2I4Br structure. Source: OQMD, functional PBE-GGA.

```
data_Nd2Sm2C2I4Br
_chemical_formula_sum 'Nd4 Sm4 C4 I8 Br2'
_cell_length_a 20.253
_cell_length_b 4.009
_cell_length_c 8.530
_cell_angle_alpha 90.00
_cell_angle_beta 103.22
_cell_angle_gamma 90.00
_space_group_name_H-M_alt 'C 1 2/m 1'
_space_group_IT_number 12
loop_
_space_group_symop_operation_xyz
'x,y,z'
'-x,-y,-z'
'-x,y,-z'
'x,-y,z'
'x+1/2,y+1/2,z'
'-x+1/2,-y+1/2,-z'
'-x+1/2,y+1/2,-z'
'x+1/2,-y+1/2,z'
loop_
_atom_site_label
_atom_site_fract_x
_atom_site_fract_y
_atom_site_fract_z
Nd1 0.000 0.000 0.199
Sm1 0.149 0.500 0.088
C1 0.036 0.500 0.020
I1 0.161 0.000 0.370
I2 0.168 0.000 0.820
Br1 0.000 0.500 0.500
```

The size of the total moment comes out at 0.017 μB per cell.

Calculated relative energies: model a 28; model b 0, given in meV per atom